Entry from Alexandria via LeMat-Bulk: CaTl2Fe3F12 after structural relaxation (GGA+U).

- Theoretical density: 4.6 g/cm³
- Energy: -5.12 eV per atom

Cell lengths 7.6509, 7.6509, 17.9666 Å; angles 90.00, 90.00, 120.00 degrees
Space group R-3m (No. 166, hexagonal axes)
Inequivalent atoms, fractional coordinates:
Ca  0.0000  0.0000  0.0000 (multiplicity 3)
Tl  0.0000  0.0000  0.3612 (multiplicity 6)
Fe  0.0000  0.5000  0.5000 (multiplicity 9)
F  0.0222  0.5111  0.6096 (multiplicity 18)
F  0.0840  0.5420  0.8387 (multiplicity 18)